No. 1
12
Lattice="6.308 -2.847 0.000 6.308 2.847 0.000 -0.004 0.000 11.400" Properties=species:S:1:pos:R:3 comment="PBE-GGA La5Pr5Hg2, relaxed" ef_ev_per_atom=-0.132 dos_at_fermi_per_ev_cell=17.0 pbc="T T T"
La 0.000 0.000 0.000
La 3.997 0.000 6.153
La 6.035 0.000 2.850
La 6.577 0.000 8.550
La 8.615 0.000 5.247
Pr -0.002 0.000 5.700
Pr 2.303 0.000 2.832
Pr 3.972 0.000 10.933
Pr 8.640 0.000 0.468
Pr 10.309 0.000 8.569
Hg 1.757 0.000 8.539
Hg 10.855 0.000 2.861

=====

No. 2
18
Lattice="-9.999 3.313 4.459 9.999 -3.313 4.459 9.999 3.313 -4.459" Properties=species:S:1:pos:R:3 comment="PBE-GGA La2Pr5Hg2, relaxed" ef_ev_per_atom=-0.111 dos_at_fermi_per_ev_cell=24.6 pbc="T T T"
La 1.383 0.798 0.000
La 8.616 0.798 0.000
La 1.383 2.516 4.459
La 8.616 2.516 4.459
Pr 14.998 0.710 0.329
Pr 11.807 2.495 -1.420
Pr 8.190 -0.819 3.039
Pr -1.809 0.819 3.039
Pr 11.807 0.819 3.039
Pr 3.360 2.819 1.695
Pr 6.639 2.819 1.695
Pr -3.360 3.808 1.695
Pr 3.360 0.494 6.154
Pr -4.999 2.603 4.787
Hg 4.999 2.731 -1.058
Hg 4.999 0.583 3.401
Hg 0.000 3.313 1.506
Hg 0.000 0.000 5.965